PBE RePtN2, relaxed; energy above the most stable polymorph in this dataset = 1353 meV per atom; symmetry = Fm-3m, No. 225; raw formation energy = 1495 meV per atom
1.0
0.0000 2.7589 2.7589
2.7589 0.0000 2.7589
2.7589 2.7589 0.0000
Re Pt N
1 1 2
Direct
0.0000 0.0000 0.0000 Re
0.5000 0.5000 0.5000 Pt
0.2500 0.2500 0.2500 N
0.7500 0.7500 0.7500 N